CuP2HC | PBE | relaxed

a = 4.0287 Å, b = 4.0287 Å, c = 3.3378 Å
α = 90.00°, β = 90.00°, γ = 90.00°
Last column: nearest neighbours and their distance in Å.
Element x y z (fractional)
1 Cu 0.0000 0.0000 0.0000  2 H 1.67
2 P 0.0000 0.5000 0.5000  2 H 2.01
3 P 0.5000 0.0000 0.5000  2 H 2.01
4 H 0.0000 0.0000 0.5000  2 Cu 1.67
5 C 0.5000 0.5000 0.0000  8 P 2.62, 4 Cu 2.85

* space group: P4/mmm (123)
* size of the total moment: 0.00 μB/cell
* E_tot: -19.66 eV for the cell shown